[1]
The following is a DFT calculation (GGA-PBE) of crystalline Li4ZrU3N8 at its relaxed geometry.

Results
symmetry	R-3m
ΔE_f (raw)	-1.137	eV/atom

abc: 6.833 6.430 6.834
angles: 122.09 120.00 90.00
Site moments in Bohr magnetons follow the coordinates.
Atoms (fractional coordinates):
N: 0.731 0.709 0.970  -0.03
N: 0.263 0.289 0.526  -0.03
Li: 0.500 0.000 0.500  0.00
N: 0.761 0.291 0.522  -0.03
U: 0.500 0.500 0.000  0.72
N: 0.239 0.709 0.478  -0.03
N: 0.737 0.711 0.474  -0.03
Li: 0.000 0.000 0.500  0.00
Zr: 0.000 0.500 0.000  0.05
Li: 0.500 0.000 0.000  0.00
N: 0.761 0.291 0.030  -0.03
U: 0.500 0.500 0.500  0.72
N: 0.269 0.291 0.030  -0.03
U: 0.000 0.500 0.500  0.72
Li: 0.000 0.000 0.000  0.00
N: 0.239 0.709 0.970  -0.03

=====

[2]
The following is a DFT calculation (GGA-PBE) of crystalline LiZr2UN5 at its relaxed geometry.

Results
symmetry	Cmc2_1
ΔE_f (raw)	-1.079	eV/atom

abc: 3.253 6.772 9.705
angles: 90.00 90.00 103.90
Atoms (fractional coordinates):
N: 0.942 0.885 0.572
N: 0.503 0.005 0.272
N: 0.686 0.371 0.849
N: 0.714 0.428 0.165
U: 0.202 0.404 0.006
U: 0.798 0.596 0.506
Zr: 0.101 0.203 0.685
N: 0.364 0.727 0.997
N: 0.314 0.629 0.349
Zr: 0.119 0.238 0.301
Zr: 0.899 0.797 0.185
Li: 0.484 0.967 0.477
Zr: 0.881 0.762 0.801
N: 0.636 0.273 0.497
N: 0.286 0.572 0.665
Li: 0.516 0.033 0.977
N: 0.058 0.115 0.072
N: 0.497 0.995 0.772

=====

[3]
The following is a DFT calculation (GGA-PBE) of crystalline Li3Zr2UN6 at its relaxed geometry.

Results
symmetry	C2/m
ΔE_f (raw)	-1.086	eV/atom

abc: 5.754 5.754 5.431
angles: 100.32 100.32 119.96
Atoms (fractional coordinates):
N: 0.252 0.252 0.783
U: 0.000 0.000 0.000
N: 0.748 0.748 0.217
N: 0.073 0.399 0.218
N: 0.927 0.601 0.782
Zr: 0.666 0.334 0.000
Zr: 0.334 0.666 0.000
N: 0.399 0.073 0.218
N: 0.601 0.927 0.782
Li: 0.500 0.500 0.500
Li: 0.827 0.173 0.500
Li: 0.173 0.827 0.500

=====

[4]
The following is a DFT calculation (GGA-PBE) of crystalline LiZr2UN4 at its relaxed geometry.

Results
symmetry	I4/mmm
ΔE_f (raw)	-1.410	eV/atom

abc: 4.591 4.591 5.725
angles: 113.64 113.64 90.00
Site moments in Bohr magnetons follow the coordinates.
Atoms (fractional coordinates):
Zr: 0.687 0.187 0.500  0.02
N: 0.937 0.437 0.000  -0.01
Zr: 0.187 0.687 0.500  0.02
Li: 0.437 0.437 0.000  0.00
N: 0.437 0.937 0.000  -0.01
N: 0.704 0.704 0.533  0.00
N: 0.170 0.170 0.467  0.00
U: 0.937 0.937 0.000  0.18

=====

[5]
The following is a DFT calculation (GGA-PBE) of crystalline LiVN2 at its relaxed geometry.

Results
symmetry	I-42d
ΔE_f (raw)	-0.823	eV/atom

abc: 4.678 4.678 5.373
angles: 64.19 64.19 90.00
Atoms (fractional coordinates):
V: 0.750 0.250 0.500
N: 0.067 0.625 0.250
N: 0.683 0.125 0.250
N: 0.875 0.933 0.750
Li: 0.500 0.500 0.000
Li: 0.250 0.750 0.500
V: 0.000 0.000 0.000
N: 0.375 0.317 0.750

=====

[6]
The following is a DFT calculation (GGA-PBE) of crystalline LiVN2 at its relaxed geometry.

Results
symmetry	R3m
ΔE_f (raw)	-0.706	eV/atom

abc: 2.857 2.857 5.425
angles: 74.73 74.73 60.00
Atoms (fractional coordinates):
Li: 0.494 0.494 0.518
V: 0.668 0.668 0.995
N: 0.073 0.073 0.781
N: 0.265 0.265 0.206